Compound: NpFe2Co
Source: Alexandria via LeMat-Bulk
Functional: PBE
Structure: relaxed Values from VASP.

The structure in Quantum ESPRESSO input format:
```
&SYSTEM
  ibrav = 0, nat = 4, ntyp = 3
/
ATOMIC_SPECIES
Np 237.00 Np.upf
Fe 55.84 Fe.upf
Co 58.93 Co.upf
CELL_PARAMETERS angstrom
2.875 0.000 0.000
0.000 2.875 0.000
0.000 0.000 6.780
ATOMIC_POSITIONS angstrom
Np 0.000 0.000 0.000
Fe 1.437 1.437 1.996
Fe 1.437 1.437 4.784
Co 0.000 0.000 3.390
```

Results
SG: P4/mmm (123)
ρ: 12.1 g/cm³
E_form: 137 meV per atom
Energy relative to the lowest polymorph listed for this composition: 0.1759 eV per atom